# 1
First-principles (GGA-PBE) data for an optimized crystal structure of LiCaLa, as listed in the Alexandria database.

## Properties
Excess energy over the best structure of this formula in the dataset ... 92 meV/atom
Calculated formation energy ... 119 meV per atom
VASP energy ... -8.49 eV per cell

Lattice parameters (Å, degrees): 3.6920 3.6920 8.6980 90.00 90.00 120.00
Space group P3m1 (No. 156)
One atom of each set of equivalent atoms:
Li 0.0000 0.0000 0.0000
Ca 0.3333 0.6667 0.3199
La 0.6667 0.3333 0.6831

***

# 2
First-principles (GGA-PBE) data for an optimized crystal structure of LiCaLa2, as listed in the Alexandria database.

## Properties
Excess energy over the best structure of this formula in the dataset ... 83 meV/atom
Calculated formation energy ... 135 meV per atom
VASP energy ... -26.46 eV per cell

Lattice parameters (Å, degrees): 3.994 5.892 11.807 90.00 90.00 90.00
Space group Cmmm (No. 65)
One atom of each set of equivalent atoms:
Li 0.000 0.000 0.000
Ca 0.000 0.000 0.500
La 0.000 0.500 0.233

***

# 3
First-principles (GGA-PBE) data for an optimized crystal structure of LiCaLa2, as listed in the Alexandria database.

## Properties
Excess energy over the best structure of this formula in the dataset ... 66 meV/atom
Calculated formation energy ... 118 meV per atom
VASP energy ... -13.30 eV per cell

Lattice parameters (Å, degrees): 3.610 6.017 6.378 90.00 99.24 90.00
Space group P2/m (No. 10)
One atom of each set of equivalent atoms:
Li 0.000 0.000 0.000
Ca 0.500 0.000 0.500
La 0.216 0.500 0.775

***

# 4
First-principles (GGA-PBE) data for an optimized crystal structure of Li2Ca2La, as listed in the Alexandria database.

## Properties
Excess energy over the best structure of this formula in the dataset ... 20 meV/atom
Calculated formation energy ... 118 meV per atom
VASP energy ... -24.33 eV per cell

Lattice parameters (Å, degrees): 3.807 3.807 22.633 90.00 90.00 90.00
Space group I4/mmm (No. 139)
One atom of each set of equivalent atoms:
Li 0.000 0.500 0.250
Ca 0.000 0.000 0.124
La 0.000 0.000 0.500

***

# 5
First-principles (GGA-PBE) data for an optimized crystal structure of LiCaLa, as listed in the Alexandria database.

## Properties
Excess energy over the best structure of this formula in the dataset ... 75 meV/atom
Calculated formation energy ... 102 meV per atom
VASP energy ... -17.08 eV per cell

Lattice parameters (Å, degrees): 6.172 3.709 9.202 90.00 108.83 90.00
Space group Pm (No. 6)
One atom of each set of equivalent atoms:
Li 0.000 0.000 0.000
Li 0.325 0.000 0.628
Ca 0.028 0.500 0.317
Ca 0.834 0.500 0.668
La 0.489 0.500 0.971
La 0.515 0.000 0.286

***

# 6
First-principles (GGA-PBE) data for an optimized crystal structure of Li2CaLa, as listed in the Alexandria database.

## Properties
Excess energy over the best structure of this formula in the dataset ... 0 meV/atom
Calculated formation energy ... 66 meV per atom
VASP energy ... -10.49 eV per cell

Lattice parameters (Å, degrees): 3.744 3.744 8.468 90.00 90.00 90.00
Space group P4mm (No. 99)
One atom of each set of equivalent atoms:
Li 0.000 0.000 0.000
Li 0.500 0.500 0.153
Ca 0.000 0.000 0.413
La 0.500 0.500 0.743

***

# 7
First-principles (GGA-PBE) data for an optimized crystal structure of Li2Ca2La, as listed in the Alexandria database.

## Properties
Excess energy over the best structure of this formula in the dataset ... 55 meV/atom
Calculated formation energy ... 153 meV per atom
VASP energy ... -23.99 eV per cell

Lattice parameters (Å, degrees): 9.553 9.553 3.532 90.00 90.00 90.00
Space group P4/mbm (No. 127)
One atom of each set of equivalent atoms:
Li 0.165 0.335 0.000
Ca 0.134 0.634 0.500
La 0.000 0.000 0.500

***

# 8
First-principles (GGA-PBE) data for an optimized crystal structure of Li2CaLa, as listed in the Alexandria database.

## Properties
Excess energy over the best structure of this formula in the dataset ... 146 meV/atom
Calculated formation energy ... 212 meV per atom
VASP energy ... -19.82 eV per cell

Lattice parameters (Å, degrees): 4.715 4.715 11.175 90.00 90.00 90.00
Space group I-4m2 (No. 119)
One atom of each set of equivalent atoms:
Li 0.000 0.000 0.000
Li 0.000 0.500 0.250
Ca 0.000 0.500 0.750
La 0.000 0.000 0.500

***

# 9
First-principles (GGA-PBE) data for an optimized crystal structure of LiCaLa2, as listed in the Alexandria database.

## Properties
Excess energy over the best structure of this formula in the dataset ... 154 meV/atom
Calculated formation energy ... 206 meV per atom
VASP energy ... -25.89 eV per cell

Lattice parameters (Å, degrees): 5.154 5.154 10.403 90.00 90.00 90.00
Space group I-4m2 (No. 119)
One atom of each set of equivalent atoms:
Li 0.000 0.000 0.000
Ca 0.000 0.500 0.750
La 0.000 0.000 0.500
La 0.000 0.500 0.250

***

# 10
First-principles (GGA-PBE) data for an optimized crystal structure of LiCa4La2, as listed in the Alexandria database.

## Properties
Calculated formation energy ... 55 meV per atom
VASP energy ... -58.17 eV per cell

Lattice parameters (Å, degrees): 3.8214 3.8214 63.8508 90.00 90.00 120.00
Space group R-3m (No. 166, hexagonal axes)
One atom of each set of equivalent atoms:
Li 0.0000 0.0000 0.0000
Ca 0.0000 0.0000 0.0932
Ca 0.0000 0.0000 0.3762
La 0.0000 0.0000 0.1893

***

# 11
First-principles (GGA-PBE) data for an optimized crystal structure of LiCaLaLu, as listed in the Alexandria database.

## Properties
Calculated formation energy ... 194 meV per atom
VASP energy ... -50.35 eV per cell

Lattice parameters (Å, degrees): 8.023 8.023 8.023 90.00 90.00 90.00
Space group F-43m (No. 216)
One atom of each set of equivalent atoms:
Li 0.000 0.000 0.000
Ca 0.250 0.250 0.750
La 0.250 0.250 0.250
Lu 0.000 0.000 0.500

***

# 12
First-principles (GGA-PBE) data for an optimized crystal structure of Li2Ca2LaMg5, as listed in the Alexandria database.

## Properties
Calculated formation energy ... -54 meV per atom
VASP energy ... -42.54 eV per cell

Lattice parameters (Å, degrees): 10.864 10.864 4.659 90.00 90.00 90.00
Space group P4/mbm (No. 127)
One atom of each set of equivalent atoms:
Li 0.114 0.386 0.000
Ca 0.180 0.680 0.000
La 0.000 0.000 0.000
Mg 0.000 0.500 0.500
Mg 0.064 0.216 0.500